[1]
The following is a DFT calculation (PBE-GGA) of Mg2Ti3CoS8 after structural relaxation.

```
data_Mg2Ti3CoS8
_chemical_formula_sum 'Mg2 Ti3 Co1 S8'
_cell_length_a 7.2829
_cell_length_b 7.2829
_cell_length_c 7.2829
_cell_angle_alpha 59.24
_cell_angle_beta 59.24
_cell_angle_gamma 59.24
_symmetry_space_group_name_H-M 'P 1'
_symmetry_Int_Tables_number 1
loop_
_symmetry_equiv_pos_as_xyz
'x,y,z'
loop_
_atom_site_label
_atom_site_fract_x
_atom_site_fract_y
_atom_site_fract_z
_atom_site_occupancy
S1 0.2680 0.2680 0.7121 1
S2 0.7425 0.7425 0.7425 1
S3 0.7320 0.7320 0.2879 1
S4 0.7121 0.2680 0.2680 1
S5 0.2575 0.2575 0.2575 1
S6 0.2879 0.7320 0.7320 1
S7 0.2680 0.7121 0.2680 1
S8 0.7320 0.2879 0.7320 1
Ti1 0.5000 0.5000 0.0000 1
Ti2 0.5000 0.0000 0.5000 1
Ti3 0.0000 0.5000 0.5000 1
Mg1 0.8780 0.8780 0.8780 1
Mg2 0.1220 0.1220 0.1220 1
Co1 0.5000 0.5000 0.5000 1
```

Computed properties:
space group	No. 166
formation energy from raw total energies	-1.14	eV per atom
raw total energy	-82.9	eV for the cell shown

=====

[2]
The following is a DFT calculation (PBE-GGA) of KCa2La2 after structural relaxation.

```
data_KCa2La2
_chemical_formula_sum 'K1 Ca2 La2'
_cell_length_a 5.1456
_cell_length_b 5.1456
_cell_length_c 9.5388
_cell_angle_alpha 74.35
_cell_angle_beta 74.35
_cell_angle_gamma 90.00
_symmetry_space_group_name_H-M 'P 1'
_symmetry_Int_Tables_number 1
loop_
_symmetry_equiv_pos_as_xyz
'x,y,z'
loop_
_atom_site_label
_atom_site_fract_x
_atom_site_fract_y
_atom_site_fract_z
_atom_site_occupancy
Ca1 0.2500 0.7500 0.5000 1
Ca2 0.7500 0.2500 0.5000 1
La1 0.5843 0.5843 0.8314 1
La2 0.4157 0.4157 0.1686 1
K1 0.0000 0.0000 0.0000 1
```

Computed properties:
energy of formation	0.53	eV per atom
distance to the lowest polymorph of the same formula	268	meV/atom
space group	No. 139
raw total energy	-12.3	eV for the cell shown

=====

[3]
The following is a DFT calculation (PBE-GGA) of La3DyEr2Sb6 after structural relaxation.

```
data_La3DyEr2Sb6
_chemical_formula_sum 'La3 Dy1 Er2 Sb6'
_cell_length_a 7.7989
_cell_length_b 7.7989
_cell_length_c 7.7650
_cell_angle_alpha 99.63
_cell_angle_beta 99.63
_cell_angle_gamma 119.99
_symmetry_space_group_name_H-M 'P 1'
_symmetry_Int_Tables_number 1
loop_
_symmetry_equiv_pos_as_xyz
'x,y,z'
loop_
_atom_site_label
_atom_site_fract_x
_atom_site_fract_y
_atom_site_fract_z
_atom_site_occupancy
Sb1 0.4130 0.0784 0.2352 1
Sb2 0.9216 0.5870 0.7648 1
Sb3 0.2563 0.2563 0.7652 1
Sb4 0.5870 0.9216 0.7648 1
Sb5 0.0784 0.4130 0.2352 1
Sb6 0.7437 0.7437 0.2348 1
Er1 0.3332 0.6668 0.0000 1
Er2 0.6668 0.3332 0.0000 1
La1 0.5000 0.5000 0.5000 1
La2 0.8338 0.1662 0.5000 1
La3 0.1662 0.8338 0.5000 1
Dy1 0.0000 0.0000 0.0000 1
```

Computed properties:
space group	No. 12
formation energy from raw total energies	-1.19	eV per atom
raw total energy	-67.5	eV for the cell shown

=====

[4]
The following is a DFT calculation (PBE-GGA) of Al5Si after structural relaxation.

```
data_Al5Si
_chemical_formula_sum 'Al5 Si1'
_cell_length_a 6.3826
_cell_length_b 6.3826
_cell_length_c 3.9855
_cell_angle_alpha 90.00
_cell_angle_beta 90.00
_cell_angle_gamma 143.66
_symmetry_space_group_name_H-M 'P 1'
_symmetry_Int_Tables_number 1
loop_
_symmetry_equiv_pos_as_xyz
'x,y,z'
loop_
_atom_site_label
_atom_site_fract_x
_atom_site_fract_y
_atom_site_fract_z
_atom_site_occupancy
Si1 0.9723 0.0277 0.0000 1
Al1 0.3056 0.6944 0.0000 1
Al2 0.8059 0.1941 0.5000 1
Al3 0.4722 0.5278 0.5000 1
Al4 0.6388 0.3612 0.0000 1
Al5 0.1385 0.8615 0.5000 1
```

Computed properties:
distance to the lowest polymorph of the same formula	0	meV/atom
space group	No. 65
formation energy from raw total energies	0.06	eV per atom
raw total energy	-23.8	eV for the cell shown

=====

[5]
The following is a DFT calculation (PBE-GGA) of Tm2Mg2Sn3 after structural relaxation.

```
data_Tm2Mg2Sn3
_chemical_formula_sum 'Tm2 Mg2 Sn3'
_cell_length_a 4.5704
_cell_length_b 9.2212
_cell_length_c 5.8313
_cell_angle_alpha 120.50
_cell_angle_beta 113.07
_cell_angle_gamma 90.00
_symmetry_space_group_name_H-M 'P 1'
_symmetry_Int_Tables_number 1
loop_
_symmetry_equiv_pos_as_xyz
'x,y,z'
loop_
_atom_site_label
_atom_site_fract_x
_atom_site_fract_y
_atom_site_fract_z
_atom_site_occupancy
Sn1 0.3355 0.8462 0.6709 1
Sn2 0.6645 0.1538 0.3291 1
Sn3 0.0000 0.5000 0.0000 1
Tm1 0.5959 0.7776 0.1917 1
Tm2 0.4041 0.2224 0.8083 1
Mg1 0.8048 0.6329 0.6096 1
Mg2 0.1952 0.3671 0.3904 1
```

Computed properties:
energy of formation	-0.32	eV per atom
space group	No. 12
raw total energy	-26.4	eV for the cell shown

=====

[6]
The following is a DFT calculation (PBE-GGA) of K4Rb2S after structural relaxation.

```
data_K4Rb2S
_chemical_formula_sum 'K4 Rb2 S1'
_cell_length_a 6.1707
_cell_length_b 6.1707
_cell_length_c 13.5634
_cell_angle_alpha 103.15
_cell_angle_beta 103.15
_cell_angle_gamma 90.00
_symmetry_space_group_name_H-M 'P 1'
_symmetry_Int_Tables_number 1
loop_
_symmetry_equiv_pos_as_xyz
'x,y,z'
loop_
_atom_site_label
_atom_site_fract_x
_atom_site_fract_y
_atom_site_fract_z
_atom_site_occupancy
Rb1 0.3048 0.3048 0.6096 1
Rb2 0.6952 0.6952 0.3904 1
K1 0.0000 0.5000 0.0000 1
K2 0.5000 0.0000 0.0000 1
K3 0.8815 0.8815 0.7630 1
K4 0.1185 0.1185 0.2370 1
S1 0.0000 0.0000 0.0000 1
```

Computed properties:
distance to the lowest polymorph of the same formula	0	meV/atom
space group	No. 139
formation energy from raw total energies	-0.40	eV per atom
raw total energy	-13.2	eV for the cell shown

=====

[7]
The following is a DFT calculation (PBE-GGA) of Ce2SnBi after structural relaxation.

```
data_Ce2SnBi
_chemical_formula_sum 'Ce2 Sn1 Bi1'
_cell_length_a 3.5754
_cell_length_b 3.5754
_cell_length_c 10.7871
_cell_angle_alpha 80.46
_cell_angle_beta 80.46
_cell_angle_gamma 60.00
_symmetry_space_group_name_H-M 'P 1'
_symmetry_Int_Tables_number 1
loop_
_symmetry_equiv_pos_as_xyz
'x,y,z'
loop_
_atom_site_label
_atom_site_fract_x
_atom_site_fract_y
_atom_site_fract_z
_atom_site_occupancy
Ce1 0.2517 0.2517 0.2448 1
Ce2 0.7483 0.7483 0.7552 1
Bi1 0.5000 0.5000 0.5000 1
Sn1 0.0000 0.0000 0.0000 1
```

Computed properties:
energy of formation	-0.36	eV per atom
distance to the lowest polymorph of the same formula	305	meV/atom
space group	No. 166
raw total energy	-21.2	eV for the cell shown

=====

[8]
The following is a DFT calculation (PBE-GGA) of LaTb2Al9 after structural relaxation.

```
data_LaTb2Al9
_chemical_formula_sum 'La1 Tb2 Al9'
_cell_length_a 5.6353
_cell_length_b 5.6353
_cell_length_c 9.3821
_cell_angle_alpha 72.52
_cell_angle_beta 72.52
_cell_angle_gamma 60.00
_symmetry_space_group_name_H-M 'P 1'
_symmetry_Int_Tables_number 1
loop_
_symmetry_equiv_pos_as_xyz
'x,y,z'
loop_
_atom_site_label
_atom_site_fract_x
_atom_site_fract_y
_atom_site_fract_z
_atom_site_occupancy
Tb1 0.1414 0.1414 0.5758 1
Tb2 0.8586 0.8586 0.4242 1
La1 0.0000 0.0000 0.0000 1
Al1 0.5877 0.0763 0.7482 1
Al2 0.4123 0.9237 0.2518 1
Al3 0.4123 0.4123 0.2518 1
Al4 0.9237 0.4123 0.2518 1
Al5 0.6644 0.6644 0.0069 1
Al6 0.3356 0.3356 0.9931 1
Al7 0.0763 0.5877 0.7482 1
Al8 0.5877 0.5877 0.7482 1
Al9 0.5000 0.5000 0.5000 1
```

Computed properties:
energy of formation	-0.41	eV per atom
space group	No. 166
raw total energy	-52.8	eV for the cell shown

=====

[9]
The following is a DFT calculation (PBE-GGA) of Ca2Hg2Pd after structural relaxation.

```
data_Ca2Hg2Pd
_chemical_formula_sum 'Ca4 Hg4 Pd2'
_cell_length_a 7.8594
_cell_length_b 7.8594
_cell_length_c 4.3951
_cell_angle_alpha 90.00
_cell_angle_beta 90.00
_cell_angle_gamma 90.00
_symmetry_space_group_name_H-M 'P 1'
_symmetry_Int_Tables_number 1
loop_
_symmetry_equiv_pos_as_xyz
'x,y,z'
loop_
_atom_site_label
_atom_site_fract_x
_atom_site_fract_y
_atom_site_fract_z
_atom_site_occupancy
Ca1 0.3341 0.8341 0.0000 1
Ca2 0.8341 0.6659 0.0000 1
Ca3 0.1659 0.3341 0.0000 1
Ca4 0.6659 0.1659 0.0000 1
Hg1 0.6400 0.8600 0.5000 1
Hg2 0.3600 0.1400 0.5000 1
Hg3 0.1400 0.6400 0.5000 1
Hg4 0.8600 0.3600 0.5000 1
Pd1 0.0000 0.0000 0.0000 1
Pd2 0.5000 0.5000 0.0000 1
```

Computed properties:
energy of formation	-0.28	eV per atom
distance to the lowest polymorph of the same formula	285	meV/atom
space group	No. 127
raw total energy	-22.4	eV for the cell shown

=====

[10]
The following is a DFT calculation (PBE-GGA) of LaTiIr2 after structural relaxation.

```
data_LaTiIr2
_chemical_formula_sum 'La1 Ti1 Ir2'
_cell_length_a 3.1091
_cell_length_b 3.1091
_cell_length_c 7.6017
_cell_angle_alpha 90.00
_cell_angle_beta 90.00
_cell_angle_gamma 90.00
_symmetry_space_group_name_H-M 'P 1'
_symmetry_Int_Tables_number 1
loop_
_symmetry_equiv_pos_as_xyz
'x,y,z'
loop_
_atom_site_label
_atom_site_fract_x
_atom_site_fract_y
_atom_site_fract_z
_atom_site_occupancy
Ir1 0.0000 0.0000 0.1969 1
Ir2 0.0000 0.0000 0.8031 1
Ti1 0.5000 0.5000 0.0000 1
La1 0.5000 0.5000 0.5000 1
```

Computed properties:
energy of formation	-0.68	eV per atom
distance to the lowest polymorph of the same formula	0	meV/atom
space group	No. 123
raw total energy	-33.3	eV for the cell shown

=====

[11]
The following is a DFT calculation (PBE-GGA) of TbPr2Ga4 after structural relaxation.

```
data_TbPr2Ga4
_chemical_formula_sum 'Tb1 Pr2 Ga4'
_cell_length_a 4.2084
_cell_length_b 4.3465
_cell_length_c 9.9184
_cell_angle_alpha 102.66
_cell_angle_beta 102.25
_cell_angle_gamma 90.00
_symmetry_space_group_name_H-M 'P 1'
_symmetry_Int_Tables_number 1
loop_
_symmetry_equiv_pos_as_xyz
'x,y,z'
loop_
_atom_site_label
_atom_site_fract_x
_atom_site_fract_y
_atom_site_fract_z
_atom_site_occupancy
Tb1 0.5000 0.0000 0.0000 1
Pr1 0.8159 0.8159 0.6318 1
Pr2 0.1841 0.1841 0.3682 1
Ga1 0.3609 0.3609 0.7218 1
Ga2 0.9356 0.4356 0.8711 1
Ga3 0.0644 0.5644 0.1289 1
Ga4 0.6391 0.6391 0.2782 1
```

Computed properties:
energy of formation	-0.61	eV per atom
space group	No. 71
raw total energy	-30.5	eV for the cell shown